[1]
NaFe2Os PBE-GGA optimized geometry; distance to the lowest polymorph of the same formula = 0.0 meV per atom; energy relative to the elements = 871 meV/atom; calculated volume = 12.93 A^3/atom; space group = No. 225
1.0
1.188 -3.505 -1.948
0.951 -3.410 2.226
-2.544 -3.319 -0.070
Na Fe Os
1 2 1
Direct
0.000 0.000 0.000
0.250 0.250 0.250
0.750 0.750 0.750
0.500 0.500 0.500

=====

[2]
SiTcRuC PBE-GGA optimized geometry; distance to the lowest polymorph of the same formula = 162.9 meV per atom; calculated volume = 11.96 A^3/atom; space group = No. 6
1.0
4.195 0.000 0.005
0.000 2.938 0.000
-1.817 0.000 3.879
Ru Tc Si C
1 1 1 1
Direct
0.106 0.500 0.512
0.745 0.000 0.863
0.485 0.500 0.233
0.252 0.000 0.898

=====

[3]
BaCa6Al6 PBE-GGA optimized geometry; energy relative to the elements = -115 meV/atom; calculated volume = 28.03 A^3/atom; space group = No. 71
1.0
5.678 0.000 2.269
2.814 7.719 1.198
-0.026 -0.117 8.302
Ca Al Ba
6 6 1
Direct
0.000 0.329 0.671
0.347 0.653 0.653
0.318 0.182 0.182
0.000 0.671 0.329
0.682 0.818 0.818
0.653 0.347 0.347
0.500 0.000 0.500
0.500 0.500 0.000
0.500 0.233 0.767
0.500 0.767 0.233
0.000 0.500 0.000
0.000 0.000 0.500
0.000 0.000 0.000

=====

[4]
Sm12Ho7In PBE-GGA optimized geometry; distance to the lowest polymorph of the same formula = 0.0 meV per atom; energy relative to the elements = 156 meV/atom; calculated volume = 32.85 A^3/atom; space group = No. 148
1.0
8.462 1.107 1.662
-1.290 8.436 1.662
-1.290 -1.716 8.425
Sm Ho In
12 7 1
Direct
0.857 0.503 0.384
0.131 0.738 0.260
0.384 0.857 0.503
0.616 0.143 0.497
0.260 0.131 0.738
0.143 0.497 0.616
0.738 0.260 0.131
0.503 0.384 0.857
0.497 0.616 0.143
0.740 0.869 0.262
0.869 0.262 0.740
0.262 0.740 0.869
0.940 0.854 0.619
0.381 0.060 0.146
0.619 0.940 0.854
0.500 0.500 0.500
0.060 0.146 0.381
0.854 0.619 0.940
0.146 0.381 0.060
0.000 0.000 0.000

=====

[5]
HoZnGaPd PBE-GGA optimized geometry; energy relative to the elements = -583 meV/atom; calculated volume = 18.03 A^3/atom; space group = No. 216
1.0
-3.885 -1.971 -1.688
-1.519 -4.052 1.762
-3.882 -0.109 2.596
Zn Ga Ho Pd
1 1 1 1
Direct
0.000 0.000 0.000
0.250 0.250 0.250
0.750 0.750 0.750
0.500 0.500 0.500

=====

[6]
Nd3SmHo6 PBE-GGA optimized geometry; distance to the lowest polymorph of the same formula = 0.0 meV per atom; energy relative to the elements = 148 meV/atom; calculated volume = 33.00 A^3/atom; space group = No. 36
1.0
-4.007 0.918 -4.804
-2.123 -10.746 -0.281
-6.084 6.560 6.326
Ho Nd Sm
12 6 2
Direct
0.879 0.040 0.960
0.872 0.468 0.048
0.543 0.620 0.712
0.543 0.288 0.380
0.043 0.712 0.620
0.043 0.380 0.288
0.872 0.952 0.532
0.372 0.532 0.952
0.147 0.726 0.274
0.379 0.960 0.040
0.372 0.048 0.468
0.647 0.274 0.726
0.569 0.611 0.389
0.463 0.937 0.712
0.963 0.063 0.288
0.069 0.389 0.611
0.963 0.712 0.937
0.463 0.288 0.063
0.633 0.803 0.197
0.133 0.197 0.803

=====

[7]
KScPt2 PBE-GGA optimized geometry; energy relative to the elements = -271 meV/atom; calculated volume = 24.49 A^3/atom; space group = No. 25
1.0
-0.946 -1.468 -2.691
2.455 -3.005 0.776
-5.607 -3.570 3.919
K Pt Sc
1 2 1
Direct
0.500 0.500 0.796
0.000 0.000 0.059
0.500 0.500 0.266
0.000 0.000 0.379

=====

[8]
Sr2SnAsRu PBE-GGA optimized geometry; distance to the lowest polymorph of the same formula = 18.8 meV per atom; energy relative to the elements = -156 meV/atom; calculated volume = 31.90 A^3/atom; space group = No. 123
1.0
5.883 0.000 0.000
0.000 4.609 0.000
0.000 0.000 5.883
Sn As Sr Ru
1 1 2 1
Direct
0.500 0.500 0.500
0.000 0.500 0.000
0.000 0.000 0.500
0.500 0.000 0.000
0.000 0.000 0.000

=====

calculated volume of number 4 (Sm12Ho7In)? 32.85 A^3/atom

=====

The highest calculated volume belongs to which entry? Nd3SmHo6

=====

What is the formula in the eighth record? Sr2SnAsRu